# KNdSnWO6 (PBE with a Hubbard U, optimized geometry)
data_KNdSnWO6
_chemical_formula_sum 'K4 Nd4 Sn4 W4 O24'
_symmetry_space_group_name_H-M 'F -4 3 m'
_symmetry_Int_Tables_number 216
_symmetry_space_group_name_Hall 'F -4 2 3'
_cell_length_a 8.556
_cell_length_b 8.556
_cell_length_c 8.556
_cell_angle_alpha 90.00
_cell_angle_beta 90.00
_cell_angle_gamma 90.00
loop_
_atom_site_label
_atom_site_type_symbol
_atom_site_fract_x
_atom_site_fract_y
_atom_site_fract_z
K1 K 0.000 0.000 0.000
Nd1 Nd 0.250 0.250 0.250
Sn1 Sn 0.000 0.000 0.500
W1 W 0.250 0.250 0.750
O1 O 0.022 0.250 0.750
# DOS(E_F)   0.0000 states/eV/atom
# Crystal system   cubic
# Raw total energy   -6.791 eV/atom
# Density   6.17 g/cm3
# Total moment   0.0000 μB/atom